# 1
VASP calculation (PBE) on a relaxed structure of NpTlAgTe3.

Geometry as POSCAR:
```
NpTlAgTe3
1.0
-3.4340 2.5972 -0.9643
-2.3775 0.2504 9.1409
6.3402 7.7443 -1.7198
Np Tl Ag Te
2 2 2 6
Direct
0.2500 0.6797 0.1598
0.7500 0.3203 0.8402
0.2500 0.1978 0.2432
0.7500 0.8022 0.7568
0.2500 0.0800 0.5904
0.7500 0.9200 0.4096
0.7500 0.8896 0.1236
0.2500 0.1104 0.8764
0.2500 0.7568 0.4697
0.7500 0.2432 0.5303
0.7500 0.4518 0.1578
0.2500 0.5482 0.8422
```

Calculated values
Theoretical density (Mg/m³): 7.7
Energy relative to the elements, uncorrected (kJ per mole of atoms): -42

***

# 2
VASP calculation (PBE) on a relaxed structure of Pr2NdTh.

Geometry as POSCAR:
```
Pr2NdTh
1.0
-2.0252 2.8654 -1.1245
1.6057 -2.2059 -2.4764
-9.7037 -6.9115 -0.1352
Pr Nd Th
2 1 1
Direct
0.4666 0.5334 0.2464
0.4666 0.5334 0.7536
0.1331 0.8669 0.5000
0.7998 0.2002 0.0000
```

Calculated values
Energy of formation from the pure elements (kJ/mol of formula units): 20
Theoretical density (Mg/m³): 7.8
Energy above the most stable polymorph in this dataset (eV/f.u.): 0.09

***

# 3
VASP calculation (PBE) on a relaxed structure of La2Mg5Sn3Pb2.

Geometry as POSCAR:
```
La2Mg5Sn3Pb2
1.0
-0.7665 -2.1085 -3.9396
2.4890 -3.5210 1.4002
-15.4613 -4.7635 8.1662
La Mg Sn Pb
2 5 3 2
Direct
0.7130 0.7130 0.4261
0.2870 0.2870 0.5739
0.6359 0.1359 0.2717
0.3641 0.8641 0.7283
0.1359 0.6359 0.2717
0.8641 0.3641 0.7283
0.5000 0.5000 0.0000
0.1924 0.1924 0.3848
0.8076 0.8076 0.6152
0.0000 0.0000 0.0000
0.4193 0.4193 0.8386
0.5807 0.5807 0.1614
```

Calculated values
Energy of formation from the pure elements (kJ/mol of formula units): -209
Theoretical density (Mg/m³): 5.3

***

# 4
VASP calculation (PBE) on a relaxed structure of YIn2Ag.

Geometry as POSCAR:
```
YIn2Ag
1.0
-4.0600 2.7578 -0.4568
-4.7862 -0.6623 0.9757
-0.8543 2.4596 5.4394
Ag In Y
1 2 1
Direct
0.7500 0.7500 0.7500
0.0139 0.0139 0.9517
0.4861 0.4861 0.5483
0.2500 0.2500 0.2500
```

Calculated values
Energy of formation from the pure elements (kJ/mol of formula units): -77
Theoretical density (Mg/m³): 7.1

***

# 5
VASP calculation (PBE) on a relaxed structure of PmBe3Ni2.

Geometry as POSCAR:
```
PmBe3Ni2
1.0
4.9794 0.0000 0.0000
0.0000 5.5204 -1.3731
0.0000 -0.2362 5.6837
Pm Be Ni
2 6 4
Direct
0.2500 0.3298 0.3298
0.7500 0.6702 0.6702
0.7500 0.4681 0.0865
0.7500 0.0865 0.4681
0.2500 0.5319 0.9135
0.7500 0.0855 0.0855
0.2500 0.9145 0.9145
0.2500 0.9135 0.5319
0.5000 0.8029 0.1971
0.0000 0.8029 0.1971
0.0000 0.1971 0.8029
0.5000 0.1971 0.8029
```

Calculated values
Energy of formation from the pure elements (kJ/mol of formula units): -177
Theoretical density (Mg/m³): 6.2

***

# 6
VASP calculation (PBE) on a relaxed structure of LaMg3Ge.

Geometry as POSCAR:
```
LaMg3Ge
1.0
5.1824 0.0000 0.0000
0.0000 5.1824 0.0000
0.0000 0.0000 5.1824
Ge Mg La
1 3 1
Direct
0.0000 0.0000 0.0000
0.0000 0.5000 0.0000
0.0000 0.0000 0.5000
0.5000 0.0000 0.0000
0.5000 0.5000 0.5000
```

Calculated values
Energy of formation from the pure elements (kJ/mol of formula units): 66
Theoretical density (Mg/m³): 3.4
Energy above the most stable polymorph in this dataset (eV/f.u.): 0.00

***

# 7
VASP calculation (PBE) on a relaxed structure of CdCoPt2.

Geometry as POSCAR:
```
CdCoPt2
1.0
2.8108 -0.0110 0.0000
0.0113 2.8108 0.0000
0.0000 0.0000 7.8495
Cd Co Pt
1 1 2
Direct
0.0000 0.0000 0.5123
0.5000 0.5000 0.7679
0.0000 0.0000 0.9790
0.5000 0.5000 0.2409
```

Calculated values
Energy of formation from the pure elements (kJ/mol of formula units): -13
Theoretical density (Mg/m³): 15.0

***

# 8
VASP calculation (PBE) on a relaxed structure of CsSrLaCl2.

Geometry as POSCAR:
```
CsSrLaCl2
1.0
-4.8724 0.1049 -2.9641
3.9796 -0.7995 -6.5699
-0.3961 -5.6725 0.4504
Cs Sr Cl La
1 1 2 1
Direct
0.5000 0.5000 0.5000
0.0000 0.0000 0.0000
0.0000 0.0000 0.5000
0.5000 0.0000 0.0000
0.0000 0.5000 0.0000
```

Calculated values
Theoretical density (Mg/m³): 2.8
Energy relative to the elements, uncorrected (kJ per mole of atoms): -68